Record 1
The following is a DFT calculation (PBE) of a relaxed structure of Pm3Pr2Dy4.

```
data_Pm3Pr2Dy4
_cell_length_a 6.2578
_cell_length_b 6.2662
_cell_length_c 8.0893
_cell_angle_alpha 82.43
_cell_angle_beta 75.10
_cell_angle_gamma 80.52
_space_group_name_H-M_alt 'P -1'
_space_group_IT_number 2
loop_
_space_group_symop_operation_xyz
'x,y,z'
'-x,-y,-z'
loop_
_atom_site_label
_atom_site_type_symbol
_atom_site_fract_x
_atom_site_fract_y
_atom_site_fract_z
_atom_site_occupancy
Pm1 Pm 0.0000 0.0000 0.0000 1
Pm2 Pm 0.4427 0.8896 0.2215 1
Pr1 Pr 0.3321 0.6679 0.6673 1
Dy1 Dy 0.1093 0.2246 0.5548 1
Dy2 Dy 0.2224 0.4462 0.1115 1
```

Calculated values
* magnetization: 0.00 μB per formula unit
* ΔE_f: 0.0179 eV/atom

***

Record 2
The following is a DFT calculation (PBE) of a relaxed structure of Tb2Dy6Mg.

```
data_Tb2Dy6Mg
_cell_length_a 10.5014
_cell_length_b 10.5014
_cell_length_c 5.0165
_cell_angle_alpha 90.00
_cell_angle_beta 90.00
_cell_angle_gamma 90.00
_space_group_name_H-M_alt 'P 42/m n m'
_space_group_IT_number 136
_space_group_name_Hall '-P 4n 2n'
loop_
_atom_site_label
_atom_site_type_symbol
_atom_site_fract_x
_atom_site_fract_y
_atom_site_fract_z
_atom_site_occupancy
Tb1 Tb 0.1660 0.1660 0.0000 1
Dy1 Dy 0.9999 0.3337 0.5000 1
Dy2 Dy 0.1669 0.8331 0.0000 1
Mg1 Mg 0.0000 0.0000 0.5000 1
```

Calculated values
* magnetization: 0.00 μB per formula unit
* ΔE_f: 0.0223 eV/atom

***

Record 3
The following is a DFT calculation (PBE) of a relaxed structure of Ba6InPdPt.

```
data_Ba6InPdPt
_cell_length_a 8.1911
_cell_length_b 8.1911
_cell_length_c 7.6694
_cell_angle_alpha 90.00
_cell_angle_beta 90.00
_cell_angle_gamma 120.00
_space_group_name_H-M_alt 'P 3 1 2'
_space_group_IT_number 149
loop_
_space_group_symop_operation_xyz
'x,y,z'
'-y,x-y,z'
'-x+y,-x,z'
'-y,-x,-z'
'-x+y,y,-z'
'x,x-y,-z'
loop_
_atom_site_label
_atom_site_type_symbol
_atom_site_fract_x
_atom_site_fract_y
_atom_site_fract_z
_atom_site_occupancy
Ba1 Ba 0.0263 0.3368 0.2340 1
In1 In 0.6667 0.3333 0.5000 1
Pd1 Pd 0.0000 0.0000 0.0000 1
Pt1 Pt 0.3333 0.6667 0.0000 1
```

Calculated values
* magnetization: 0.00 μB per formula unit
* ΔE_f: -0.4102 eV/atom

***

> Which value of ΔE_f does entry 3 give?

-0.4102 eV/atom

***

> The lowest ΔE_f belongs to which entry?

Ba6InPdPt